VASP calculation (PBE) on a relaxed structure of HfTcH3.

a b c (Å): 3.6023 3.6023 3.6023
angles (deg): 90.00 90.00 90.00
Space group Pm-3m (No. 221)
Symmetry-distinct sites (fractional):
Hf1 0.0000 0.0000 0.0000 (multiplicity 1)
Tc1 0.5000 0.5000 0.5000 (multiplicity 1)
H1 0.0000 0.0000 0.5000 (multiplicity 3)

The spin magnetization is 0.0 μB per formula unit. For the total energy, the calculation gives -28.41 eV per cell.